Entry 1:
Density functional theory data (GGA-PBE) for a geometry-optimized PaNiB structure.

abc: 6.025 6.025 6.025
angles: 90.00 90.00 90.00
Space group F-43m (No. 216)
One atom of each set of equivalent atoms:
Pa  0.000  0.000  0.000 [4 per cell]
Ni  0.250  0.250  0.250 [4 per cell]
B  0.250  0.250  0.750 [4 per cell]

The value obtained for the size of the total moment is 1.35 μB/f.u. The value obtained for the energy relative to the lowest polymorph listed for this composition is 1362 meV/atom. As for the crystal system: cubic. Its calculated total energy is -6.03 eV per atom.

Entry 2:
Density functional theory data (GGA-PBE) for a geometry-optimized Ag9Bi2O6 structure.

abc: 10.584 13.435 20.378
angles: 90.00 90.00 90.00
Space group Cmcm (No. 63)
One atom of each set of equivalent atoms:
Ag  0.000  0.033  0.100 [8 per cell]
Ag  0.000  0.167  0.504 [8 per cell]
Ag  0.000  0.243  0.132 [8 per cell]
Ag  0.130  0.069  0.750 [8 per cell]
Ag  0.132  0.146  0.621 [16 per cell]
Ag  0.173  0.000  0.000 [8 per cell]
Ag  0.186  0.269  0.250 [8 per cell]
Ag  0.250  0.250  0.000 [8 per cell]
Bi  0.175  0.378  0.640 [16 per cell]
O  0.186  0.019  0.160 [16 per cell]
O  0.186  0.386  0.539 [16 per cell]
O  0.198  0.250  0.146 [16 per cell]

As for the crystal system: orthorhombic. Its calculated total energy is -3.96 eV per atom.

Entry 3:
Density functional theory data (GGA-PBE) for a geometry-optimized Hg4BiSe2Cl5 structure.

abc: 9.687 10.509 16.923
angles: 90.00 120.70 90.00
Space group P2_1/c (No. 14)
One atom of each set of equivalent atoms:
Hg  0.008  0.005  0.354 [4 per cell]
Hg  0.013  0.235  0.006 [4 per cell]
Hg  0.328  0.747  0.449 [4 per cell]
Hg  0.356  0.248  0.952 [4 per cell]
Bi  0.486  0.001  0.241 [4 per cell]
Se  0.014  0.738  0.854 [4 per cell]
Se  0.043  0.247  0.366 [4 per cell]
Cl  0.237  0.530  0.563 [4 per cell]
Cl  0.257  0.545  0.089 [4 per cell]
Cl  0.295  0.004  0.312 [4 per cell]
Cl  0.303  0.501  0.327 [4 per cell]
Cl  0.431  0.249  0.199 [4 per cell]

As for the crystal system: monoclinic. Its calculated total energy is -2.40 eV per atom.

Entry 4:
Density functional theory data (GGA-PBE) for a geometry-optimized NaZnCoW structure.

abc: 6.159 6.159 6.159
angles: 90.00 90.00 90.00
Space group F-43m (No. 216)
One atom of each set of equivalent atoms:
Na  0.000  0.000  0.000 [4 per cell]
Zn  0.250  0.250  0.750 [4 per cell]
Co  0.250  0.250  0.250 [4 per cell]
W  0.000  0.000  0.500 [4 per cell]

The value obtained for the size of the total moment is 0.00 μB/f.u. The value obtained for the energy relative to the lowest polymorph listed for this composition is 24 meV/atom. As for the crystal system: cubic. Its calculated total energy is -4.94 eV per atom.

Entry 5:
Density functional theory data (GGA-PBE) for a geometry-optimized Pr2Dy2CI3Br2 structure.

abc: 18.975 4.016 8.890
angles: 90.00 102.67 90.00
Space group C2/m (No. 12)
One atom of each set of equivalent atoms:
Pr  0.000  0.000  0.197 [4 per cell]
Dy  0.131  0.500  0.067 [4 per cell]
C  0.000  0.500  0.000 [2 per cell]
I  0.000  0.500  0.500 [2 per cell]
I  0.173  0.000  0.836 [4 per cell]
Br  0.163  0.000  0.306 [4 per cell]

The value obtained for the size of the total moment is 0.19 μB/f.u. The value obtained for the energy relative to the lowest polymorph listed for this composition is 0 meV/atom. As for the crystal system: monoclinic. Its calculated total energy is -4.83 eV per atom.

Entry 6:
Density functional theory data (GGA-PBE) for a geometry-optimized AcLuNb structure.

abc: 7.391 7.391 7.391
angles: 90.00 90.00 90.00
Space group F-43m (No. 216)
One atom of each set of equivalent atoms:
Ac  0.000  0.000  0.000 [4 per cell]
Lu  0.000  0.000  0.500 [4 per cell]
Nb  0.250  0.250  0.250 [4 per cell]

The value obtained for the size of the total moment is 2.93 μB/f.u. The value obtained for the energy relative to the lowest polymorph listed for this composition is 0 meV/atom. The formation energy is 77.5 kJ/mol of atoms. As for the crystal system: cubic. Its calculated total energy is -5.44 eV per atom.

Entry 7:
Density functional theory data (GGA-PBE) for a geometry-optimized SrTbPb structure.

abc: 7.674 7.674 7.674
angles: 90.00 90.00 90.00
Space group F-43m (No. 216)
One atom of each set of equivalent atoms:
Sr  0.000  0.000  0.000 [4 per cell]
Tb  0.000  0.000  0.500 [4 per cell]
Pb  0.250  0.250  0.250 [4 per cell]

The value obtained for the size of the total moment is 0.00 μB/f.u. As for the crystal system: cubic. Its calculated total energy is -3.58 eV per atom.

Entry 8:
Density functional theory data (GGA-PBE) for a geometry-optimized KZnCo structure.

abc: 6.718 6.718 6.718
angles: 90.00 90.00 90.00
Space group F-43m (No. 216)
One atom of each set of equivalent atoms:
K  0.000  0.000  0.000 [4 per cell]
Zn  0.000  0.000  0.500 [4 per cell]
Co  0.250  0.250  0.250 [4 per cell]

The value obtained for the size of the total moment is 1.53 μB/f.u. The value obtained for the energy relative to the lowest polymorph listed for this composition is 0 meV/atom. As for the crystal system: cubic. Its calculated total energy is -2.16 eV per atom.

Question: The highest calculated total energy belongs to which entry?
Answer: KZnCo

Please write out number 8 again, unchanged.
Density functional theory data (GGA-PBE) for a geometry-optimized KZnCo structure.

abc: 6.718 6.718 6.718
angles: 90.00 90.00 90.00
Space group F-43m (No. 216)
One atom of each set of equivalent atoms:
K  0.000  0.000  0.000 [4 per cell]
Zn  0.000  0.000  0.500 [4 per cell]
Co  0.250  0.250  0.250 [4 per cell]

The value obtained for the size of the total moment is 1.53 μB/f.u. The value obtained for the energy relative to the lowest polymorph listed for this composition is 0 meV/atom. As for the crystal system: cubic. Its calculated total energy is -2.16 eV per atom.

Repeat the seventh record exactly.
Density functional theory data (GGA-PBE) for a geometry-optimized SrTbPb structure.

abc: 7.674 7.674 7.674
angles: 90.00 90.00 90.00
Space group F-43m (No. 216)
One atom of each set of equivalent atoms:
Sr  0.000  0.000  0.000 [4 per cell]
Tb  0.000  0.000  0.500 [4 per cell]
Pb  0.250  0.250  0.250 [4 per cell]

The value obtained for the size of the total moment is 0.00 μB/f.u. As for the crystal system: cubic. Its calculated total energy is -3.58 eV per atom.

Repeat the fourth record exactly.
Density functional theory data (GGA-PBE) for a geometry-optimized NaZnCoW structure.

abc: 6.159 6.159 6.159
angles: 90.00 90.00 90.00
Space group F-43m (No. 216)
One atom of each set of equivalent atoms:
Na  0.000  0.000  0.000 [4 per cell]
Zn  0.250  0.250  0.750 [4 per cell]
Co  0.250  0.250  0.250 [4 per cell]
W  0.000  0.000  0.500 [4 per cell]

The value obtained for the size of the total moment is 0.00 μB/f.u. The value obtained for the energy relative to the lowest polymorph listed for this composition is 24 meV/atom. As for the crystal system: cubic. Its calculated total energy is -4.94 eV per atom.